## MgTl2Sn2 (PBE-GGA)

Data for a relaxed structure of MgTl2Sn2.

Cell lengths 4.2368, 4.2368, 17.1319 Å; angles 90.00, 90.00, 90.00 degrees
Space group I4/mmm (No. 139)
Unique sites:
Mg: 0.0000 0.0000 0.0000 (multiplicity 2)
Tl: 0.0000 0.0000 0.4036 (multiplicity 4)
Sn: 0.0000 0.5000 0.2500 (multiplicity 4)

Calculated values
**Theoretical density**: 7.2 Mg/m³
**Polymorph energy (0 for the lowest one)**: 172 meV per atom
**DFT formation energy**: 0.128 eV per atom


## MgTl12Sn7 (PBE-GGA)

Data for a relaxed structure of MgTl12Sn7.

Cell lengths 18.3766, 18.3766, 6.4243 Å; angles 90.00, 90.00, 120.00 degrees
Space group R-3 (No. 148, hexagonal axes)
Unique sites:
Mg: 0.0000 0.0000 0.0000 (multiplicity 3)
Tl: 0.0003 0.4063 0.5010 (multiplicity 18)
Tl: 0.1062 0.5533 0.9900 (multiplicity 18)
Sn: 0.0000 0.0000 0.5000 (multiplicity 3)
Sn: 0.0841 0.1677 0.8147 (multiplicity 18)

Calculated values
**Theoretical density**: 8.8 Mg/m³
**DFT formation energy**: 0.074 eV per atom


## MgTlSn5 (PBE-GGA)

Data for a relaxed structure of MgTlSn5.

Cell lengths 4.6190, 4.6190, 9.4786 Å; angles 90.00, 90.00, 90.00 degrees
Space group P4/mmm (No. 123)
Unique sites:
Mg: 0.0000 0.0000 0.0000 (multiplicity 1)
Tl: 0.5000 0.5000 0.5000 (multiplicity 1)
Sn: 0.0000 0.5000 0.2497 (multiplicity 4)
Sn: 0.5000 0.5000 0.0000 (multiplicity 1)

Calculated values
**Theoretical density**: 6.8 Mg/m³
**DFT formation energy**: 0.030 eV per atom


## MgTl2Sn2 (PBE-GGA)

Data for a relaxed structure of MgTl2Sn2.

Cell lengths 8.0070, 8.0070, 4.5317 Å; angles 90.00, 90.00, 90.00 degrees
Space group P4/mbm (No. 127)
Unique sites:
Mg: 0.0000 0.0000 0.0000 (multiplicity 2)
Tl: 0.1547 0.3453 0.0000 (multiplicity 4)
Sn: 0.1436 0.6436 0.5000 (multiplicity 4)

Calculated values
**Theoretical density**: 7.7 Mg/m³
**Polymorph energy (0 for the lowest one)**: 185 meV per atom
**DFT formation energy**: 0.141 eV per atom